Computed, not measured: a PBEsol-optimized structure of MnAlTe2 at the meta-GGA SCAN level of DFT.

Calculated values
ΔE_f (raw), eV/atom: 0.08
DFT total energy, eV per atom: -25.0508
Magnetic moment, μB per atom: 1.115
Symmetry: P4/mmm (123)

```
4
Lattice="4.963 0.000 0.000 0.000 4.963 0.000 0.000 0.000 3.491" Properties=species:S:1:pos:R:3 pbc="T T T"
Mn 0.000 0.000 0.000
Al 2.481 2.481 0.000
Te 0.000 2.481 1.746
Te 2.481 0.000 1.746
```